Compound: Cs2BaYF6
Source: Alexandria via LeMat-Bulk
Functional: PBE
Structure: relaxed

For the uncorrected formation energy, the calculation gives -3.25 eV/atom. For the final energy, the calculation gives -215.1 eV/cell.

The space group is Fm-3m (No. 225) and the conventional cell measures 9.899, 9.899 and 9.899 Å, with angles of 90.00, 90.00 and 90.00 degrees. The distinct sites, in fractional coordinates, are Cs at (0.250, 0.250, 0.250), Ba at (0.000, 0.000, 0.000), Y at (0.000, 0.000, 0.500) and F at (0.000, 0.000, 0.274).


Compound: Cs2BaZnF6
Source: Alexandria via LeMat-Bulk
Functional: PBE
Structure: relaxed

For the uncorrected formation energy, the calculation gives -2.94 eV/atom. For the final energy, the calculation gives -182.0 eV/cell.

The space group is Fm-3m (No. 225) and the conventional cell measures 9.335, 9.335 and 9.335 Å, with angles of 90.00, 90.00 and 90.00 degrees. The distinct sites, in fractional coordinates, are Cs at (0.250, 0.250, 0.250), Ba at (0.000, 0.000, 0.000), Zn at (0.000, 0.000, 0.500) and F at (0.000, 0.000, 0.276).


Compound: CsBa2Zn2F9
Source: Alexandria via LeMat-Bulk
Functional: PBE
Structure: relaxed

For the uncorrected formation energy, the calculation gives -3.03 eV/atom. For the final energy, the calculation gives -199.7 eV/cell.

The space group is R3m (No. 160, hexagonal axes) and the conventional cell measures 6.0088, 6.0088 and 21.4430 Å, with angles of 90.00, 90.00 and 120.00 degrees. The distinct sites, in fractional coordinates, are Cs at (0.0000, 0.0000, 0.0000), Ba at (0.0000, 0.0000, 0.5764), Ba at (0.0000, 0.0000, 0.7841), Zn at (0.0000, 0.0000, 0.1761), Zn at (0.0000, 0.0000, 0.3887), F at (0.0055, 0.5028, 0.5529), F at (0.1723, 0.3446, 0.3469) and F at (0.1740, 0.3481, 0.1213).


Compound: Cs3BaZn2F9
Source: Alexandria via LeMat-Bulk
Functional: PBE
Structure: relaxed

For the uncorrected formation energy, the calculation gives -2.78 eV/atom. For the final energy, the calculation gives -65.6 eV/cell.

The space group is P-3m1 (No. 164) and the conventional cell measures 6.3651, 6.3651 and 8.0296 Å, with angles of 90.00, 90.00 and 120.00 degrees. The distinct sites, in fractional coordinates, are Cs at (0.0000, 0.0000, 0.0000), Cs at (0.3333, 0.6667, 0.6936), Ba at (0.0000, 0.0000, 0.5000), Zn at (0.3333, 0.6667, 0.1508), F at (0.0000, 0.5000, 0.0000) and F at (0.1824, 0.3649, 0.3007).


Compound: Cs2BaZn3F12
Source: Alexandria via LeMat-Bulk
Functional: PBE
Structure: relaxed

For the uncorrected formation energy, the calculation gives -2.47 eV/atom. For the final energy, the calculation gives -223.3 eV/cell.

The space group is R-3m (No. 166, hexagonal axes) and the conventional cell measures 7.7595, 7.7595 and 17.9845 Å, with angles of 90.00, 90.00 and 120.00 degrees. The distinct sites, in fractional coordinates, are Cs at (0.0000, 0.0000, 0.1091), Ba at (0.0000, 0.0000, 0.5000), Zn at (0.0000, 0.5000, 0.0000), F at (0.0341, 0.5170, 0.8938) and F at (0.0842, 0.5421, 0.3151).


Compound: Cs2BaFe
Source: Alexandria via LeMat-Bulk
Functional: PBE
Structure: relaxed

As for the energy of formation: 0.9780 eV/atom. For the final energy, the calculation gives -32.7 eV/cell.

The space group is Fm-3m (No. 225) and the conventional cell measures 9.538, 9.538 and 9.538 Å, with angles of 90.00, 90.00 and 90.00 degrees. The distinct sites, in fractional coordinates, are Cs at (0.250, 0.250, 0.250), Ba at (0.000, 0.000, 0.000) and Fe at (0.000, 0.000, 0.500).